No. 1
The following is a PBE calculation of a relaxed ZrCoAg2 crystal, from Alexandria via LeMat-Bulk.

POSCAR file:
```
ZrCoAg2
1.0
3.185 0.000 0.000
0.000 3.185 0.000
0.000 0.000 6.872
Zr Co Ag
1 1 2
Direct
0.000 0.000 0.000 Zr
0.500 0.500 0.808 Co
0.000 0.000 0.563 Ag
0.500 0.500 0.305 Ag
```

The calculation puts the energy of formation from the pure elements at 0.028 eV per atom. The distance to the lowest polymorph of the same formula is 14 meV per atom. The crystal system is tetragonal. The calculation puts the electronic total energy at -21.24 eV for the cell shown.

No. 2
The following is a PBE calculation of a relaxed Ba2SiGePt6 crystal, from Alexandria via LeMat-Bulk.

POSCAR file:
```
Ba2SiGePt6
1.0
6.138 -2.891 0.000
6.138 2.891 0.000
-5.058 0.000 6.191
Ba Si Ge Pt
2 1 1 6
Direct
0.243 0.243 0.176 Ba
0.757 0.757 0.824 Ba
0.000 0.000 0.500 Si
0.500 0.500 0.000 Ge
0.215 0.708 0.702 Pt
0.248 0.248 0.643 Pt
0.292 0.785 0.298 Pt
0.708 0.215 0.702 Pt
0.752 0.752 0.357 Pt
0.785 0.292 0.298 Pt
```

As for the raw formation energy: -0.73 eV/atom. The crystal system is monoclinic. The calculation puts the electronic total energy at -57.47 eV for the cell shown.

No. 3
The following is a PBE calculation of a relaxed CeHgBr3 crystal, from Alexandria via LeMat-Bulk.

POSCAR file:
```
CeHgBr3
1.0
3.818 2.204 9.905
-3.818 2.204 9.905
0.000 -4.409 9.905
Ce Hg Br
2 2 6
Direct
0.167 0.167 0.167 Ce
0.833 0.833 0.833 Ce
0.340 0.340 0.340 Hg
0.660 0.660 0.660 Hg
0.076 0.443 0.815 Br
0.185 0.924 0.557 Br
0.443 0.815 0.076 Br
0.557 0.185 0.924 Br
0.815 0.076 0.443 Br
0.924 0.557 0.185 Br
```

The distance to the lowest polymorph of the same formula is 0 meV per atom. As for the raw formation energy: -1.43 eV/atom. The crystal system is trigonal. The calculation puts the electronic total energy at -36.77 eV for the cell shown.

No. 4
The following is a PBE calculation of a relaxed RbMgTe2 crystal, from Alexandria via LeMat-Bulk.

POSCAR file:
```
RbMgTe2
1.0
-3.414 3.414 8.482
3.414 -3.414 8.482
3.414 3.414 -8.482
Rb Mg Te
2 2 4
Direct
0.375 0.625 0.750 Rb
0.625 0.375 0.250 Rb
0.125 0.875 0.250 Mg
0.875 0.125 0.750 Mg
0.000 0.000 0.000 Te
0.000 0.000 0.500 Te
0.000 0.500 0.000 Te
0.500 0.000 0.500 Te
```

As for the raw formation energy: -0.63 eV/atom. The crystal system is tetragonal. The calculation puts the electronic total energy at -22.73 eV for the cell shown.

No. 5
The following is a PBE calculation of a relaxed LiAuBr2 crystal, from Alexandria via LeMat-Bulk.

POSCAR file:
```
LiAuBr2
1.0
-3.019 3.019 6.151
3.019 -3.019 6.151
3.019 3.019 -6.151
Li Au Br
2 2 4
Direct
0.000 0.000 0.000 Li
0.750 0.250 0.500 Li
0.250 0.750 0.500 Au
0.500 0.500 0.000 Au
0.104 0.625 0.979 Br
0.375 0.354 0.479 Br
0.646 0.125 0.021 Br
0.875 0.896 0.521 Br
```

The distance to the lowest polymorph of the same formula is 88 meV per atom. As for the raw formation energy: -0.69 eV/atom. The crystal system is tetragonal. The calculation puts the electronic total energy at -22.62 eV for the cell shown.

No. 6
The following is a PBE calculation of a relaxed RbMgIn4Sn2 crystal, from Alexandria via LeMat-Bulk.

POSCAR file:
```
RbMgIn4Sn2
1.0
2.648 1.529 10.597
-2.648 1.529 10.597
0.000 -3.058 10.597
Rb Mg In Sn
1 1 4 2
Direct
0.000 0.000 0.000 Rb
0.500 0.500 0.500 Mg
0.131 0.131 0.131 In
0.405 0.405 0.405 In
0.595 0.595 0.595 In
0.869 0.869 0.869 In
0.230 0.230 0.230 Sn
0.770 0.770 0.770 Sn
```

The calculation puts the energy of formation from the pure elements at -0.032 eV per atom. The crystal system is trigonal. The calculation puts the electronic total energy at -21.78 eV for the cell shown.

No. 7
The following is a PBE calculation of a relaxed SrZnSi2 crystal, from Alexandria via LeMat-Bulk.

POSCAR file:
```
SrZnSi2
1.0
-2.452 2.452 8.339
2.452 -2.452 8.339
2.452 2.452 -8.339
Sr Zn Si
2 2 4
Direct
0.375 0.625 0.750 Sr
0.625 0.375 0.250 Sr
0.125 0.875 0.250 Zn
0.875 0.125 0.750 Zn
0.000 0.000 0.000 Si
0.000 0.000 0.500 Si
0.000 0.500 0.000 Si
0.500 0.000 0.500 Si
```

As for the raw formation energy: -0.07 eV/atom. The crystal system is tetragonal. The calculation puts the electronic total energy at -28.18 eV for the cell shown.

No. 8
The following is a PBE calculation of a relaxed Cs2K5Na5 crystal, from Alexandria via LeMat-Bulk.

POSCAR file:
```
Cs2K5Na5
1.0
10.955 -2.318 0.000
10.955 2.318 0.000
-5.565 0.000 14.670
Cs K Na
2 5 5
Direct
0.108 0.108 0.276 Cs
0.892 0.892 0.724 Cs
0.327 0.327 0.439 K
0.409 0.409 0.232 K
0.500 0.500 0.000 K
0.591 0.591 0.768 K
0.673 0.673 0.561 K
0.000 0.000 0.500 Na
0.177 0.177 0.003 Na
0.252 0.252 0.810 Na
0.748 0.748 0.190 Na
0.823 0.823 0.997 Na
```

The calculation puts the energy of formation from the pure elements at 0.038 eV per atom. The distance to the lowest polymorph of the same formula is 0 meV per atom. The crystal system is monoclinic. The calculation puts the electronic total energy at -13.33 eV for the cell shown.

No. 9
The following is a PBE calculation of a relaxed AcThGe2 crystal, from Alexandria via LeMat-Bulk.

POSCAR file:
```
AcThGe2
1.0
6.234 0.000 0.000
0.000 6.288 0.000
-2.522 0.000 11.465
Ac Th Ge
4 4 8
Direct
0.195 0.147 0.140 Ac
0.195 0.853 0.640 Ac
0.805 0.147 0.360 Ac
0.805 0.853 0.860 Ac
0.305 0.364 0.867 Th
0.305 0.636 0.367 Th
0.695 0.364 0.633 Th
0.695 0.636 0.133 Th
0.191 0.351 0.597 Ge
0.191 0.649 0.097 Ge
0.329 0.146 0.424 Ge
0.329 0.854 0.924 Ge
0.671 0.146 0.076 Ge
0.671 0.854 0.576 Ge
0.809 0.351 0.903 Ge
0.809 0.649 0.403 Ge
```

The calculation puts the energy of formation from the pure elements at -0.662 eV per atom. The crystal system is monoclinic. The calculation puts the electronic total energy at -93.64 eV for the cell shown.

No. 10
The following is a PBE calculation of a relaxed Ac6Pd2PtBr3 crystal, from Alexandria via LeMat-Bulk.

POSCAR file:
```
Ac6Pd2PtBr3
1.0
3.861 -6.688 0.000
3.861 6.688 0.000
-2.574 0.000 8.251
Ac Pd Pt Br
6 2 1 3
Direct
0.066 0.396 0.197 Ac
0.265 0.265 0.803 Ac
0.396 0.066 0.197 Ac
0.604 0.934 0.803 Ac
0.735 0.735 0.197 Ac
0.934 0.604 0.803 Ac
0.333 0.667 0.000 Pd
0.667 0.333 0.000 Pd
0.000 0.000 0.000 Pt
0.167 0.833 0.500 Br
0.500 0.500 0.500 Br
0.833 0.167 0.500 Br
```

As for the raw formation energy: -1.18 eV/atom. The crystal system is monoclinic. The calculation puts the electronic total energy at -60.24 eV for the cell shown.

No. 11
The following is a PBE calculation of a relaxed ScTaAs2Cl crystal, from Alexandria via LeMat-Bulk.

POSCAR file:
```
ScTaAs2Cl
1.0
4.895 0.000 0.000
0.000 4.895 0.000
0.000 0.000 4.441
Sc Ta As Cl
1 1 2 1
Direct
0.000 0.000 0.000 Sc
0.500 0.500 0.000 Ta
0.000 0.500 0.500 As
0.500 0.000 0.500 As
0.000 0.000 0.500 Cl
```

As for the raw formation energy: 0.79 eV/atom. The crystal system is tetragonal. The calculation puts the electronic total energy at -25.40 eV for the cell shown.

No. 12
The following is a PBE calculation of a relaxed CrNiP2 crystal, from Alexandria via LeMat-Bulk.

POSCAR file:
```
CrNiP2
1.0
-1.741 2.046 3.277
1.741 -2.046 3.277
1.741 2.046 -3.277
Cr Ni P
1 1 2
Direct
0.000 0.000 0.000 Cr
0.500 0.500 0.000 Ni
0.266 0.766 0.500 P
0.734 0.234 0.500 P
```

The calculation puts the energy of formation from the pure elements at -0.004 eV per atom. The crystal system is orthorhombic. The calculation puts the electronic total energy at -26.24 eV for the cell shown.